The following is a PBE+U calculation of a geometry-optimized Co2PbC2O7 structure, from the Alexandria database.

It has space group R32 (No. 155, hexagonal axes), with a = 5.0525 Å, b = 5.0525 Å, c = 26.3925 Å, α = 90.00°, β = 90.00° and γ = 120.00°. Symmetry generates all atoms from Co at (0.0000, 0.0000, 0.0677), Pb at (0.0000, 0.0000, 0.5000), C at (0.0000, 0.0000, 0.2288), O at (0.0000, 0.0000, 0.0000) and O at (0.0309, 0.2712, 0.7723).

Its crystal system is trigonal. The value obtained for the energy is -6.7546 eV/atom. The value obtained for the magnetization is 6.1 μB per formula unit.